[1]
Dy3PtAu | PBE-GGA | optimized geometry

- Energy relative to the elements: -0.83 eV per atom
- Total energy: -5.459 eV per atom
- Calculated density: 11.1 Mg/m³

Structure (POSCAR):
```
Dy3PtAu
1.0
-2.479 -2.046 -2.621
-1.910 -4.461 5.288
-6.683 5.377 2.123
Au Pt Dy
2 2 6
Cartesian
-7.616 0.619 5.078 Au
-3.457 -1.749 -0.288 Au
-6.009 -2.694 2.863 Pt
-5.063 1.564 1.926 Pt
-8.253 -2.350 4.717 Dy
-2.819 1.219 0.073 Dy
-3.749 -0.954 2.650 Dy
-7.323 -0.176 2.140 Dy
-3.690 -4.560 2.126 Dy
-7.382 3.430 2.663 Dy
```

---

[2]
MnNi6Pt | PBE-GGA | optimized geometry

- Energy relative to the elements: -0.08 eV per atom
- Total energy: -6.317 eV per atom
- Calculated density: 10.5 Mg/m³
- Energy above the lowest structure with this stoichiometry: 0.0 meV per atom

Structure (POSCAR):
```
MnNi6Pt
1.0
-3.640 -4.356 2.647
5.283 -2.654 -2.069
4.451 1.790 9.066
Pt Ni Mn
4 24 4
Cartesian
2.231 0.897 4.545 Pt
4.445 1.787 9.054 Pt
4.145 -2.636 1.387 Pt
-0.277 -3.479 3.724 Pt
1.113 0.447 2.266 Ni
3.988 -3.897 8.936 Ni
0.661 -5.233 2.120 Ni
0.991 -1.305 4.161 Ni
2.064 -1.341 0.663 Ni
5.277 -2.181 3.683 Ni
3.206 -0.882 2.990 Ni
2.877 -4.811 0.949 Ni
2.083 -0.857 6.429 Ni
3.338 1.342 6.799 Ni
3.041 -2.144 10.493 Ni
3.173 -0.419 8.649 Ni
0.848 -3.026 6.025 Ni
-0.151 -1.764 1.834 Ni
1.804 -4.774 4.447 Ni
1.934 -3.058 2.555 Ni
4.159 -2.163 7.088 Ni
2.898 -4.336 6.715 Ni
7.471 -1.299 8.152 Ni
4.331 -0.428 5.241 Ni
5.146 -3.907 5.527 Ni
5.421 0.010 7.461 Ni
4.019 -4.351 3.276 Ni
6.236 -3.469 7.748 Ni
6.379 -1.739 5.915 Mn
1.940 -2.586 8.261 Mn
5.256 -1.722 9.322 Mn
3.063 -2.604 4.855 Mn
```

---

[3]
Y2ZrTl | PBE-GGA | optimized geometry

- Energy relative to the elements: -0.09 eV per atom
- Total energy: -6.046 eV per atom
- Calculated density: 7.1 Mg/m³
- Energy above the lowest structure with this stoichiometry: 49.1 meV per atom

Structure (POSCAR):
```
Y2ZrTl
1.0
5.144 0.000 0.000
0.000 3.500 0.033
0.000 1.690 6.188
Tl Zr Y
1 1 2
Cartesian
2.572 3.238 4.737 Tl
0.000 3.251 3.055 Zr
2.572 1.512 1.850 Y
0.000 4.975 5.912 Y
```

---

[4]
LaCeTl | PBE-GGA | optimized geometry

- Energy relative to the elements: -0.03 eV per atom
- Total energy: -4.441 eV per atom
- Calculated density: 8.4 Mg/m³
- Energy above the lowest structure with this stoichiometry: 124.7 meV per atom

Structure (POSCAR):
```
LaCeTl
1.0
6.078 0.000 0.000
3.039 4.596 0.000
3.039 0.000 6.819
La Ce Tl
2 2 2
Cartesian
3.039 3.040 0.000 La
6.078 1.556 0.000 La
4.558 2.298 3.410 Ce
7.597 2.298 3.410 Ce
3.039 0.000 1.536 Tl
6.078 0.000 5.283 Tl
```

---

[5]
CaTlBiPtN | PBE-GGA | optimized geometry

- Total energy: -4.659 eV per atom
- Calculated density: 9.8 Mg/m³
- Energy above the lowest structure with this stoichiometry: 118.1 meV per atom

Structure (POSCAR):
```
CaTlBiPtN
1.0
3.624 0.000 0.000
0.000 3.159 0.000
0.000 0.000 19.561
Tl N Ca Pt Bi
2 2 2 2 2
Cartesian
1.812 1.579 8.326 Tl
1.812 0.000 18.106 Tl
1.812 1.579 12.028 N
1.812 0.000 2.248 N
0.000 1.579 1.437 Ca
0.000 0.000 11.217 Ca
1.812 1.579 3.662 Pt
1.812 0.000 13.443 Pt
0.000 0.000 5.498 Bi
0.000 1.579 15.278 Bi
```

---

[6]
AcPmNd2 | PBE-GGA | optimized geometry

- Energy relative to the elements: 0.16 eV per atom
- Total energy: -4.439 eV per atom
- Calculated density: 7.2 Mg/m³
- Energy above the lowest structure with this stoichiometry: 135.4 meV per atom

Structure (POSCAR):
```
AcPmNd2
1.0
3.666 0.000 0.000
1.833 3.175 0.000
1.833 1.058 13.053
Pm Nd Ac
1 2 1
Cartesian
3.666 2.116 6.527 Pm
1.833 1.058 9.467 Nd
5.499 3.175 3.586 Nd
0.000 0.000 0.000 Ac
```

---

[7]
V6SiGe | PBE-GGA | optimized geometry

- Total energy: -8.493 eV per atom
- Calculated density: 6.4 Mg/m³

Structure (POSCAR):
```
V6SiGe
1.0
-1.162 -0.362 4.570
-3.353 -3.148 -1.102
3.127 -3.510 0.517
V Ge Si
6 1 1
Cartesian
-1.400 -0.950 2.016 V
0.685 -2.028 3.712 V
-0.912 -2.432 -0.424 V
0.686 -4.227 -0.160 V
1.279 -1.844 1.375 V
-3.114 -2.560 1.452 V
-0.694 -3.510 1.993 Ge
0.000 0.000 0.000 Si
```

---

[8]
AcAg5Au7 | PBE-GGA | optimized geometry

- Energy relative to the elements: -0.20 eV per atom
- Total energy: -3.380 eV per atom
- Calculated density: 13.7 Mg/m³

Structure (POSCAR):
```
AcAg5Au7
1.0
5.711 0.022 0.022
2.882 6.762 0.005
2.882 -0.017 6.762
Ag Au Ac
5 7 1
Cartesian
8.619 5.222 5.239 Ag
4.301 0.005 3.389 Ag
4.301 3.389 0.016 Ag
4.319 6.745 3.380 Ag
4.319 3.358 6.756 Ag
8.583 4.419 2.365 Au
5.780 4.450 4.464 Au
5.741 5.326 1.439 Au
2.856 1.480 1.485 Au
5.705 2.394 2.401 Au
8.583 2.351 4.427 Au
5.741 1.422 5.330 Au
5.714 0.066 0.066 Ac
```

---

[9]
KTa2Cd | PBE-GGA | optimized geometry

- Energy relative to the elements: 0.80 eV per atom
- Total energy: -5.633 eV per atom
- Calculated density: 7.9 Mg/m³

Structure (POSCAR):
```
KTa2Cd
1.0
5.087 0.000 -0.005
4.268 2.768 -0.005
0.605 0.179 7.701
Ta K Cd
2 1 1
Cartesian
2.415 0.714 1.505 Ta
9.219 2.727 0.862 Ta
7.520 2.225 5.769 K
5.143 1.522 3.392 Cd
```

---

[10]
SrMnCr2 | PBE-GGA | optimized geometry

- Energy relative to the elements: 0.63 eV per atom
- Total energy: -6.893 eV per atom
- Calculated density: 5.0 Mg/m³
- Energy above the lowest structure with this stoichiometry: 76.7 meV per atom

Structure (POSCAR):
```
SrMnCr2
1.0
-1.434 -1.095 -3.626
-1.686 -3.649 -0.497
-6.202 0.613 0.002
Cr Sr Mn
2 1 1
Cartesian
-5.553 -1.685 -1.822 Cr
-5.309 0.233 -0.237 Cr
-2.330 -1.033 -1.030 Sr
-6.991 -3.098 -3.090 Mn
```